1.
Material: Al2CrNi9
Method: DFT, GGA-PBE
State: relaxed

Lattice parameters (Å, degrees): 3.550 3.550 10.671 90.00 90.00 90.00
Fractional coordinates of all 12 atoms:
Al 0.000 0.000 0.166
Al 0.000 0.000 0.834
Cr 0.000 0.000 0.500
Ni 0.000 0.500 0.000
Ni 0.000 0.500 0.338
Ni 0.000 0.500 0.662
Ni 0.500 0.000 0.000
Ni 0.500 0.000 0.338
Ni 0.500 0.000 0.662
Ni 0.500 0.500 0.168
Ni 0.500 0.500 0.500
Ni 0.500 0.500 0.832

Values from the calculation:
- Space group: No. 123
- Total energy: -6.0708 eV/atom
- Total moment: 0.627 μB/f.u.
- ΔE_f: -309 meV per atom

---

2.
Material: CdIn2Br
Method: DFT, GGA-PBE
State: relaxed

Lattice parameters (Å, degrees): 9.965 9.965 9.965 21.50 21.50 21.50
Fractional coordinates of all 4 atoms:
Cd 0.000 0.000 0.000
In 0.418 0.418 0.418
In 0.582 0.582 0.582
Br 0.825 0.825 0.825

Values from the calculation:
- Space group: No. 160
- Total energy: -2.1921 eV/atom
- ΔE_f (raw): -176 meV/atom
- Total moment: 0.000 μB/f.u.
- Offset from the most stable computed form: 35 meV/atom

---

3.
Material: PmSmBi2
Method: DFT, GGA-PBE
State: relaxed

Lattice parameters (Å, degrees): 4.558 4.558 15.072 90.00 90.00 120.00
Fractional coordinates of all 8 atoms:
Pm 0.333 0.667 0.250
Pm 0.667 0.333 0.750
Sm 0.000 0.000 0.000
Sm 0.000 0.000 0.500
Bi 0.333 0.667 0.622
Bi 0.333 0.667 0.878
Bi 0.667 0.333 0.122
Bi 0.667 0.333 0.378

Values from the calculation:
- Space group: No. 194
- Total energy: -5.1823 eV/atom
- Total moment: 0.000 μB/f.u.
- Offset from the most stable computed form: 59 meV/atom
- ΔE_f: -874 meV per atom

---

4.
Material: Ba2Si2Hg
Method: DFT, GGA-PBE
State: relaxed

Lattice parameters (Å, degrees): 10.899 10.899 10.899 160.22 160.22 28.12
Fractional coordinates of all 5 atoms:
Ba 0.115 0.115 0.000
Ba 0.885 0.885 0.000
Si 0.250 0.750 0.500
Si 0.750 0.250 0.500
Hg 0.500 0.500 0.000

Values from the calculation:
- Space group: No. 139
- Total energy: -3.1219 eV/atom
- ΔE_f (raw): -123 meV/atom
- Total moment: 0.000 μB/f.u.
- Offset from the most stable computed form: 286 meV/atom

---

5.
Material: InIrRh2
Method: DFT, GGA-PBE
State: relaxed

Lattice parameters (Å, degrees): 2.847 2.847 7.716 90.00 90.00 90.00
Fractional coordinates of all 4 atoms:
In 0.000 0.000 0.000
Ir 0.000 0.000 0.500
Rh 0.500 0.500 0.265
Rh 0.500 0.500 0.735

Values from the calculation:
- Space group: No. 123
- Total energy: -6.6480 eV/atom
- Total moment: 0.000 μB/f.u.
- ΔE_f: -72 meV per atom

---

6.
Material: TaTi2Se6
Method: DFT, GGA-PBE
State: relaxed

Lattice parameters (Å, degrees): 8.712 8.712 8.004 112.37 112.37 23.32
Fractional coordinates of all 9 atoms:
Ta 0.000 0.000 0.000
Ti 0.331 0.331 0.664
Ti 0.669 0.669 0.336
Se 0.164 0.164 0.097
Se 0.171 0.171 0.570
Se 0.496 0.496 0.757
Se 0.504 0.504 0.243
Se 0.829 0.829 0.430
Se 0.836 0.836 0.903

Values from the calculation:
- Space group: No. 12
- Total energy: -6.4130 eV/atom
- ΔE_f (raw): -1019 meV/atom
- Total moment: 0.000 μB/f.u.
- Offset from the most stable computed form: 0 meV/atom

---

7.
Material: In2As2Se
Method: DFT, GGA-PBE
State: relaxed

Lattice parameters (Å, degrees): 7.703 7.703 4.036 90.00 90.00 90.00
Fractional coordinates of all 10 atoms:
In 0.142 0.358 0.000
In 0.358 0.858 0.000
In 0.642 0.142 0.000
In 0.858 0.642 0.000
As 0.177 0.677 0.500
As 0.323 0.177 0.500
As 0.677 0.823 0.500
As 0.823 0.323 0.500
Se 0.000 0.000 0.500
Se 0.500 0.500 0.500

Values from the calculation:
- Space group: No. 127
- Total energy: -3.5567 eV/atom
- ΔE_f (raw): 95 meV/atom
- Total moment: 0.000 μB/f.u.
- Offset from the most stable computed form: 109 meV/atom

---

8.
Material: LaSi
Method: DFT, GGA-PBE
State: relaxed

Lattice parameters (Å, degrees): 3.816 3.816 8.892 90.00 90.00 120.00
Fractional coordinates of all 4 atoms:
La 0.333 0.667 0.200
La 0.667 0.333 0.800
Si 0.333 0.667 0.554
Si 0.667 0.333 0.446

Values from the calculation:
- Space group: No. 164
- Total energy: -5.5124 eV/atom
- ΔE_f (raw): -337 meV/atom
- Total moment: 0.181 μB/f.u.

---

9.
Material: GdZrCdCu
Method: DFT, GGA-PBE
State: relaxed

Lattice parameters (Å, degrees): 5.001 5.001 5.001 60.00 60.00 60.00
Fractional coordinates of all 4 atoms:
Gd 0.000 0.000 0.000
Zr 0.500 0.500 0.500
Cd 0.250 0.250 0.250
Cu 0.750 0.750 0.750

Values from the calculation:
- Space group: No. 216
- Total energy: -6.9641 eV/atom
- Total moment: 8.274 μB/f.u.
- ΔE_f: -54 meV per atom

---

10.
Material: ZrSn2PbI
Method: DFT, GGA-PBE
State: relaxed

Lattice parameters (Å, degrees): 5.717 5.717 5.933 90.00 90.00 90.00
Fractional coordinates of all 5 atoms:
Zr 0.000 0.000 0.000
Sn 0.000 0.500 0.500
Sn 0.500 0.000 0.500
Pb 0.500 0.500 0.500
I 0.500 0.500 0.000

Values from the calculation:
- Space group: No. 123
- Total energy: -3.3104 eV/atom
- ΔE_f (raw): 1052 meV/atom
- Total moment: 1.741 μB/f.u.

---

11.
Material: TlCrTe3Pd
Method: DFT, GGA-PBE
State: relaxed

Lattice parameters (Å, degrees): 8.336 3.922 10.483 90.00 111.08 90.00
Fractional coordinates of all 12 atoms:
Tl 0.248 0.250 0.301
Tl 0.752 0.750 0.699
Cr 0.302 0.750 0.841
Cr 0.698 0.250 0.159
Te 0.095 0.250 0.878
Te 0.261 0.750 0.575
Te 0.455 0.750 0.124
Te 0.545 0.250 0.876
Te 0.739 0.250 0.425
Te 0.905 0.750 0.122
Pd 0.066 0.250 0.619
Pd 0.934 0.750 0.381

Values from the calculation:
- Space group: No. 11
- Total energy: -4.6775 eV/atom
- ΔE_f (raw): -243 meV/atom
- Total moment: 2.106 μB/f.u.

---

12.
Material: MgU3Ga12
Method: DFT, GGA-PBE
State: relaxed

Lattice parameters (Å, degrees): 4.251 4.251 16.875 90.00 90.00 90.00
Fractional coordinates of all 16 atoms:
Mg 0.000 0.000 0.000
U 0.000 0.000 0.245
U 0.000 0.000 0.500
U 0.000 0.000 0.755
Ga 0.000 0.500 0.118
Ga 0.000 0.500 0.373
Ga 0.000 0.500 0.627
Ga 0.000 0.500 0.882
Ga 0.500 0.000 0.118
Ga 0.500 0.000 0.373
Ga 0.500 0.000 0.627
Ga 0.500 0.000 0.882
Ga 0.500 0.500 0.000
Ga 0.500 0.500 0.252
Ga 0.500 0.500 0.500
Ga 0.500 0.500 0.748

Values from the calculation:
- Space group: No. 123
- Total energy: -4.6731 eV/atom
- Total moment: 7.115 μB/f.u.
- ΔE_f: -187 meV per atom

---

13.
Material: ZrGe3P
Method: DFT, GGA-PBE
State: relaxed

Lattice parameters (Å, degrees): 5.186 5.186 5.186 90.00 90.00 90.00
Fractional coordinates of all 5 atoms:
Zr 0.000 0.000 0.000
Ge 0.000 0.000 0.500
Ge 0.000 0.500 0.000
Ge 0.500 0.000 0.000
P 0.500 0.500 0.500

Values from the calculation:
- Space group: No. 221
- Total energy: -4.6166 eV/atom
- Total moment: 0.000 μB/f.u.
- Offset from the most stable computed form: 388 meV/atom
- ΔE_f: 945 meV per atom

---

14.
Material: Ti3GeMo
Method: DFT, GGA-PBE
State: relaxed

Lattice parameters (Å, degrees): 4.621 4.621 4.621 90.00 90.00 90.00
Fractional coordinates of all 5 atoms:
Ti 0.000 0.000 0.500
Ti 0.000 0.500 0.000
Ti 0.500 0.000 0.000
Ge 0.000 0.000 0.000
Mo 0.500 0.500 0.500

Values from the calculation:
- Space group: No. 221
- Total energy: -7.0668 eV/atom
- Total moment: 0.000 μB/f.u.
- Offset from the most stable computed form: 0 meV/atom
- ΔE_f: 760 meV per atom

---

15.
Material: La2PtBr
Method: DFT, GGA-PBE
State: relaxed

Lattice parameters (Å, degrees): 6.969 6.969 6.969 145.00 145.00 50.33
Fractional coordinates of all 4 atoms:
La 0.000 0.000 0.000
La 0.750 0.250 0.500
Pt 0.250 0.750 0.500
Br 0.500 0.500 0.000

Values from the calculation:
- Space group: No. 119
- Total energy: -5.3606 eV/atom
- ΔE_f (raw): -968 meV/atom
- Total moment: 0.001 μB/f.u.
- Offset from the most stable computed form: 381 meV/atom

---

16.
Material: Hf3TaH8
Method: DFT, GGA-PBE
State: relaxed

Lattice parameters (Å, degrees): 5.673 5.673 5.673 131.26 131.26 71.40
Fractional coordinates of all 12 atoms:
Hf 0.000 0.000 0.000
Hf 0.250 0.750 0.500
Hf 0.750 0.250 0.500
Ta 0.500 0.500 0.000
H 0.134 0.134 0.511
H 0.134 0.623 0.000
H 0.377 0.377 0.511
H 0.377 0.866 0.000
H 0.623 0.134 0.000
H 0.623 0.623 0.489
H 0.866 0.377 0.000
H 0.866 0.866 0.489

Values from the calculation:
- Space group: No. 139
- Total energy: -6.1071 eV/atom
- Total moment: 0.000 μB/f.u.

---

17.
Material: Ac2Nd3In2
Method: DFT, GGA-PBE
State: relaxed

Lattice parameters (Å, degrees): 6.712 6.712 8.649 107.12 107.12 43.14
Fractional coordinates of all 7 atoms:
Ac 0.140 0.140 0.283
Ac 0.860 0.860 0.717
Nd 0.367 0.367 0.054
Nd 0.500 0.500 0.500
Nd 0.633 0.633 0.946
In 0.155 0.155 0.705
In 0.845 0.845 0.295

Values from the calculation:
- Space group: No. 12
- Total energy: -4.2103 eV/atom
- Total moment: 0.001 μB/f.u.
- ΔE_f: -211 meV per atom

---

18.
Material: CuS2ICl
Method: DFT, GGA-PBE
State: relaxed

Lattice parameters (Å, degrees): 4.752 4.752 4.518 90.00 90.00 90.00
Fractional coordinates of all 5 atoms:
Cu 0.000 0.000 0.000
S 0.000 0.500 0.000
S 0.500 0.000 0.000
I 0.500 0.500 0.500
Cl 0.000 0.000 0.500

Values from the calculation:
- Space group: No. 123
- Total energy: -2.7384 eV/atom
- ΔE_f (raw): 411 meV/atom
- Total moment: 0.000 μB/f.u.
- Offset from the most stable computed form: 0 meV/atom

---

19.
Material: PuSc3N4
Method: DFT, GGA-PBE
State: relaxed

Lattice parameters (Å, degrees): 5.652 6.544 5.675 90.00 109.57 90.00
Fractional coordinates of all 16 atoms:
Pu 0.000 0.129 0.250
Pu 0.000 0.871 0.750
Sc 0.000 0.379 0.750
Sc 0.000 0.621 0.250
Sc 0.500 0.131 0.750
Sc 0.500 0.380 0.250
Sc 0.500 0.620 0.750
Sc 0.500 0.869 0.250
N 0.253 0.128 0.000
N 0.253 0.378 0.502
N 0.253 0.622 0.002
N 0.253 0.872 0.500
N 0.747 0.128 0.500
N 0.747 0.378 0.998
N 0.747 0.622 0.498
N 0.747 0.872 0.000

Values from the calculation:
- Space group: No. 13
- Total energy: -10.0300 eV/atom
- ΔE_f (raw): -1702 meV/atom
- Total moment: 4.399 μB/f.u.

---

20.
Material: CaCoB2Os
Method: DFT, GGA-PBE
State: relaxed

Lattice parameters (Å, degrees): 3.915 3.915 4.724 90.00 90.00 90.00
Fractional coordinates of all 5 atoms:
Ca 0.000 0.000 0.000
Co 0.500 0.500 0.500
B 0.000 0.500 0.500
B 0.500 0.000 0.500
Os 0.500 0.500 0.000

Values from the calculation:
- Space group: No. 123
- Total energy: -5.8670 eV/atom
- Total moment: 1.573 μB/f.u.
- ΔE_f: 871 meV per atom

---

21.
Material: KRbRe3
Method: DFT, GGA-PBE
State: relaxed

Lattice parameters (Å, degrees): 4.967 4.967 4.967 90.00 90.00 90.00
Fractional coordinates of all 5 atoms:
K 0.000 0.000 0.000
Rb 0.500 0.500 0.500
Re 0.000 0.500 0.500
Re 0.500 0.000 0.500
Re 0.500 0.500 0.000

Values from the calculation:
- Space group: No. 221
- Total energy: -3.7994 eV/atom
- Total moment: 4.160 μB/f.u.
- Offset from the most stable computed form: 9 meV/atom
- ΔE_f: 4082 meV per atom

---

22.
Material: CdHgSe2
Method: DFT, GGA-PBE
State: relaxed

Lattice parameters (Å, degrees): 3.908 3.908 6.809 90.00 90.00 90.00
Fractional coordinates of all 4 atoms:
Cd 0.000 0.000 0.000
Hg 0.500 0.500 0.501
Se 0.000 0.000 0.604
Se 0.500 0.500 0.100

Values from the calculation:
- Space group: No. 99
- Total energy: -2.3204 eV/atom
- ΔE_f (raw): -274 meV/atom
- Total moment: 0.000 μB/f.u.
- Offset from the most stable computed form: 144 meV/atom

---

23.
Material: Fe2CuAs
Method: DFT, GGA-PBE
State: relaxed

Lattice parameters (Å, degrees): 7.973 7.973 7.973 20.42 20.42 20.42
Fractional coordinates of all 4 atoms:
Fe 0.000 0.000 0.000
Fe 0.258 0.258 0.258
Cu 0.752 0.752 0.752
As 0.512 0.512 0.512

Values from the calculation:
- Space group: No. 160
- Total energy: -6.1837 eV/atom
- Total moment: 4.504 μB/f.u.
- ΔE_f: 234 meV per atom

---

24.
Material: Cs2AgOsO4
Method: DFT, GGA-PBE
State: relaxed

Lattice parameters (Å, degrees): 12.240 10.755 7.440 82.39 60.56 37.05
Fractional coordinates of all 16 atoms:
Cs 0.053 0.053 0.697
Cs 0.303 0.303 0.947
Cs 0.697 0.697 0.053
Cs 0.947 0.947 0.303
Ag 0.125 0.125 0.125
Ag 0.875 0.875 0.875
Os 0.375 0.375 0.375
Os 0.625 0.625 0.625
O 0.064 0.631 0.503
O 0.301 0.503 0.631
O 0.369 0.936 0.699
O 0.497 0.699 0.936
O 0.503 0.301 0.064
O 0.631 0.064 0.301
O 0.699 0.497 0.369
O 0.936 0.369 0.497

Values from the calculation:
- Space group: No. 70
- Total energy: -5.3473 eV/atom
- ΔE_f (raw): -895 meV/atom
- Total moment: 0.006 μB/f.u.

---

25.
Material: CePm12Ho6
Method: DFT, GGA-PBE
State: relaxed

Lattice parameters (Å, degrees): 9.547 9.547 9.547 110.94 110.94 110.94
Fractional coordinates of all 19 atoms:
Ce 0.000 0.000 0.000
Pm 0.057 0.372 0.580
Pm 0.105 0.739 0.157
Pm 0.157 0.105 0.739
Pm 0.261 0.843 0.895
Pm 0.372 0.580 0.057
Pm 0.420 0.943 0.628
Pm 0.580 0.057 0.372
Pm 0.628 0.420 0.943
Pm 0.739 0.157 0.105
Pm 0.843 0.895 0.261
Pm 0.895 0.261 0.843
Pm 0.943 0.628 0.420
Ho 0.212 0.471 0.316
Ho 0.316 0.212 0.471
Ho 0.471 0.316 0.212
Ho 0.529 0.684 0.788
Ho 0.684 0.788 0.529
Ho 0.788 0.529 0.684

Values from the calculation:
- Space group: No. 148
- Total energy: -4.7295 eV/atom
- Total moment: 1.211 μB/f.u.
- ΔE_f: 29 meV per atom